No. 1
Entry from Alexandria via LeMat-Bulk: a relaxed structure of CoCuTe2 (PBE-GGA).

The calculation puts the excess energy over the best structure of this formula in the dataset at 0 meV/atom. The calculation puts the energy relative to the elements, uncorrected at 0.040 eV per atom. The magnetic moment is 0.00 μB per formula unit. Its crystal system is trigonal.

Lattice parameters (Å, degrees): 3.8267 3.8267 22.6836 90.00 90.00 120.00
Space group R-3m (No. 166, hexagonal axes)
Unique sites:
Co: 0.0000 0.0000 0.0000
Cu: 0.0000 0.0000 0.5000
Te: 0.0000 0.0000 0.3906


No. 2
Entry from Alexandria via LeMat-Bulk: a relaxed structure of YSn2Se2 (PBE-GGA).

The calculation puts the energy relative to the elements, uncorrected at -0.657 eV per atom. The magnetic moment is 0.00 μB per formula unit. Its crystal system is tetragonal.

Lattice parameters (Å, degrees): 7.632 7.632 4.746 90.00 90.00 90.00
Space group P4/mbm (No. 127)
Unique sites:
Y: 0.000 0.000 0.000
Sn: 0.176 0.324 0.500
Se: 0.170 0.670 0.000


No. 3
Entry from Alexandria via LeMat-Bulk: a relaxed structure of Pm3Ga2Ag (PBE-GGA).

The calculation puts the excess energy over the best structure of this formula in the dataset at 0 meV/atom. As for the formation energy from the elements: -45.1 kJ per mole of atoms. The magnetic moment is 0.00 μB per formula unit. Its crystal system is tetragonal.

Lattice parameters (Å, degrees): 3.628 3.628 11.439 90.00 90.00 90.00
Space group P4/mmm (No. 123)
Unique sites:
Pm: 0.000 0.000 0.000
Pm: 0.000 0.000 0.326
Ga: 0.500 0.500 0.169
Ag: 0.500 0.500 0.500


No. 4
Entry from Alexandria via LeMat-Bulk: a relaxed structure of Al2ReHCl (PBE-GGA).

Its total energy is -3.191 eV/atom. The magnetic moment is 2.30 μB per formula unit. Its crystal system is tetragonal.

Lattice parameters (Å, degrees): 5.329 5.329 4.330 90.00 90.00 90.00
Space group P4/mmm (No. 123)
Unique sites:
Al: 0.000 0.500 0.000
Re: 0.000 0.000 0.500
H: 0.500 0.500 0.500
Cl: 0.000 0.000 0.000


No. 5
Entry from Alexandria via LeMat-Bulk: a relaxed structure of Nd6Er12Th (PBE-GGA).

As for the formation energy from the elements: 21.8 kJ per mole of atoms. The magnetic moment is 0.00 μB per formula unit. Its crystal system is trigonal.

Lattice parameters (Å, degrees): 13.2851 13.2851 12.4211 90.00 90.00 120.00
Space group R-3m (No. 166, hexagonal axes)
Unique sites:
Nd: 0.0378 0.5189 0.1195
Er: 0.0000 0.2553 0.0000
Er: 0.0904 0.1808 0.7588
Th: 0.0000 0.0000 0.5000


No. 6
Entry from Alexandria via LeMat-Bulk: a relaxed structure of Sb2AsIr (PBE-GGA).

The calculation puts the excess energy over the best structure of this formula in the dataset at 441 meV/atom. The calculation puts the energy relative to the elements, uncorrected at 0.396 eV per atom. The magnetic moment is 0.00 μB per formula unit. Its crystal system is monoclinic.

Lattice parameters (Å, degrees): 6.160 7.702 3.719 90.00 106.95 90.00
Space group C2/m (No. 12)
Unique sites:
Sb: 0.250 0.250 0.000
As: 0.000 0.000 0.500
Ir: 0.000 0.500 0.500


No. 7
Entry from Alexandria via LeMat-Bulk: a relaxed structure of CaLa4Ga5 (PBE-GGA).

As for the formation energy from the elements: -51.7 kJ per mole of atoms. The magnetic moment is 0.00 μB per formula unit. Its crystal system is tetragonal.

Lattice parameters (Å, degrees): 3.746 3.746 18.884 90.00 90.00 90.00
Space group P4/mmm (No. 123)
Unique sites:
Ca: 0.000 0.000 0.000
La: 0.000 0.000 0.196
La: 0.000 0.000 0.400
Ga: 0.500 0.500 0.095
Ga: 0.500 0.500 0.300
Ga: 0.500 0.500 0.500


No. 8
Entry from Alexandria via LeMat-Bulk: a relaxed structure of Nd8Co2Pd (PBE-GGA).

The calculation puts the excess energy over the best structure of this formula in the dataset at 0 meV/atom. As for the formation energy from the elements: -12.9 kJ per mole of atoms. The magnetic moment is 0.00 μB per formula unit. Its crystal system is monoclinic.

Lattice parameters (Å, degrees): 17.693 5.176 6.782 90.00 101.26 90.00
Space group C2/m (No. 12)
Unique sites:
Nd: 0.046 0.000 0.279
Nd: 0.089 0.500 0.939
Nd: 0.174 0.500 0.469
Nd: 0.199 0.000 0.841
Co: 0.204 0.000 0.237
Pd: 0.000 0.500 0.500